## LaTaCr2 (PBE)

Data for an optimized crystal structure of LaTaCr2.

Summary:
N(E_F) = 3.51 states/eV/f.u.
polymorph energy (0 for the lowest one) = 154.9 meV/atom
M_tot = 0.00 μB per formula unit
ΔH_f (0 K) = 0.55 eV/atom

Lattice parameters (Å, degrees): 2.897 2.897 9.285 90.00 90.00 114.11
Atoms (fractional coordinates):
La: 0.000 0.000 0.000
Ta: 0.500 0.500 0.678
Cr: 0.000 0.000 0.456
Cr: 0.500 0.500 0.283